Entry one
Below is a geometry-optimized CsTlIn2 structure, with properties calculated at the PBE-GGA level.

Structure (CIF):
```
data_CsTlIn2
_chemical_formula_sum 'Cs1 Tl1 In2'
_cell_length_a 4.032
_cell_length_b 4.032
_cell_length_c 9.052
_cell_angle_alpha 90.00
_cell_angle_beta 90.00
_cell_angle_gamma 90.00
_space_group_name_H-M_alt 'P 1'
_space_group_IT_number 1
loop_
_space_group_symop_operation_xyz
'x,y,z'
loop_
_atom_site_label
_atom_site_fract_x
_atom_site_fract_y
_atom_site_fract_z
_atom_site_occupancy
Cs1 0.000 0.000 0.000 1
Tl1 0.000 0.000 0.500 1
In1 0.500 0.500 0.319 1
In2 0.500 0.500 0.681 1
```

***

Entry two
Below is a geometry-optimized CsTlIn2 structure, with properties calculated at the PBE-GGA level.

Structure (CIF):
```
data_CsTlIn2
_chemical_formula_sum 'Cs2 Tl2 In4'
_cell_length_a 7.541
_cell_length_b 7.541
_cell_length_c 8.283
_cell_angle_alpha 98.28
_cell_angle_beta 98.28
_cell_angle_gamma 40.38
_space_group_name_H-M_alt 'P 1'
_space_group_IT_number 1
loop_
_space_group_symop_operation_xyz
'x,y,z'
loop_
_atom_site_label
_atom_site_fract_x
_atom_site_fract_y
_atom_site_fract_z
_atom_site_occupancy
Cs1 0.000 0.000 0.000 1
Cs2 0.097 0.097 0.464 1
Tl1 0.660 0.660 0.798 1
Tl2 0.817 0.817 0.545 1
In1 0.278 0.278 0.919 1
In2 0.369 0.369 0.286 1
In3 0.424 0.424 0.664 1
In4 0.737 0.737 0.173 1
```

***

Entry three
Below is a geometry-optimized CsTlIn2 structure, with properties calculated at the PBE-GGA level.

Structure (CIF):
```
data_CsTlIn2
_chemical_formula_sum 'Cs2 Tl2 In4'
_cell_length_a 7.003
_cell_length_b 7.003
_cell_length_c 7.869
_cell_angle_alpha 90.00
_cell_angle_beta 90.00
_cell_angle_gamma 131.83
_space_group_name_H-M_alt 'P 1'
_space_group_IT_number 1
loop_
_space_group_symop_operation_xyz
'x,y,z'
loop_
_atom_site_label
_atom_site_fract_x
_atom_site_fract_y
_atom_site_fract_z
_atom_site_occupancy
Cs1 0.083 0.917 0.750 1
Cs2 0.917 0.083 0.250 1
Tl1 0.216 0.784 0.250 1
Tl2 0.784 0.216 0.750 1
In1 0.377 0.623 0.560 1
In2 0.377 0.623 0.940 1
In3 0.623 0.377 0.060 1
In4 0.623 0.377 0.440 1
```

***

Quick one: least stable of them? entry one